DFT (PBE) results for Li2PrIn3 after structural relaxation.

Values from the calculation:
As for the density of states at the Fermi level: 5.60 states/eV/cell. Its total energy is -3.14 eV/atom. The calculation puts the formation energy at -332 meV per atom.

Cell lengths 4.7295, 4.7295, 14.5294 Å; angles 90.00, 90.00, 120.00 degrees
Space group P6_3/mmc (No. 194)
One atom of each set of equivalent atoms:
1 Li 0.3333 0.6667 0.0828
2 Pr 0.0000 0.0000 0.2500
3 In 0.0000 0.0000 0.0000
4 In 0.3333 0.6667 0.6224

DFT (PBE) results for Th4FeIrS2 after structural relaxation.

Values from the calculation:
As for the density of states at the Fermi level: 5.76 states/eV/cell. For the energy relative to the elements, uncorrected, the calculation gives -106.8 kJ per mole of atoms. Its total energy is -8.01 eV/atom.

Cell lengths 6.997, 4.024, 7.462 Å; angles 90.00, 108.05, 90.00 degrees
Space group P2/m (No. 10)
One atom of each set of equivalent atoms:
1 Th 0.232 0.000 0.220
2 Th 0.248 0.500 0.776
3 Fe 0.000 0.500 0.000
4 Ir 0.500 0.000 0.000
5 S 0.000 0.000 0.500
6 S 0.500 0.500 0.500